## PuCo2GeH (PBE)

Data for crystalline PuCo2GeH at its relaxed geometry.

The structure belongs to space group Cmcm (No. 63); the cell edges are 3.8471, 10.4666 and 6.5527 Å and the angles 90.00°, 90.00° and 90.00°. The distinct sites, in fractional coordinates, are Pu at (0.0000, 0.0724, 0.2500), Co at (0.0000, 0.3397, 0.0490), Ge at (0.0000, 0.2081, 0.7500) and H at (0.0000, 0.5000, 0.0000).

As for the uncorrected energy: -151.8 eV for the cell shown.



## Pr2GaGe (PBE)

Data for crystalline Pr2GaGe at its relaxed geometry.

The structure belongs to space group P4/mmm (No. 123); the cell edges are 4.9684, 4.9684 and 4.1435 Å and the angles 90.00°, 90.00° and 90.00°. The distinct sites, in fractional coordinates, are Pr at (0.0000, 0.5000, 0.0000), Ga at (0.0000, 0.0000, 0.5000) and Ge at (0.5000, 0.5000, 0.5000).

For the formation energy, the calculation gives -0.584 eV/atom. As for the uncorrected energy: -19.5 eV for the cell shown.



## Rb2TiWI6 (PBE)

Data for crystalline Rb2TiWI6 at its relaxed geometry.

The structure belongs to space group I4/mmm (No. 139); the cell edges are 8.1953, 8.1953 and 11.5077 Å and the angles 90.00°, 90.00° and 90.00°. The distinct sites, in fractional coordinates, are Rb at (0.0000, 0.5000, 0.2500), Ti at (0.0000, 0.0000, 0.0000), W at (0.0000, 0.0000, 0.5000), I at (0.0000, 0.0000, 0.2512) and I at (0.2487, 0.2487, 0.5000).

As for the uncorrected energy: -72.4 eV for the cell shown.



## Pr12MgIn6 (PBE)

Data for crystalline Pr12MgIn6 at its relaxed geometry.

The structure belongs to space group R-3 (No. 148, hexagonal axes); the cell edges are 14.6675, 14.6675 and 10.0770 Å and the angles 90.00°, 90.00° and 120.00°. The distinct sites, in fractional coordinates, are Pr at (0.0528, 0.7952, 0.4079), Pr at (0.0556, 0.8567, 0.7590), Mg at (0.0000, 0.0000, 0.5000) and In at (0.0640, 0.8280, 0.0760).

For the formation energy, the calculation gives -0.120 eV/atom. As for the uncorrected energy: -233.0 eV for the cell shown.



## Dy2CoIr3 (PBE)

Data for crystalline Dy2CoIr3 at its relaxed geometry.

The structure belongs to space group P6_3/mmc (No. 194); the cell edges are 5.3621, 5.3621 and 8.3606 Å and the angles 90.00°, 90.00° and 120.00°. The distinct sites, in fractional coordinates, are Dy at (0.3333, 0.6667, 0.0650), Co at (0.0000, 0.0000, 0.0000) and Ir at (0.1672, 0.3345, 0.7500).

For the formation energy, the calculation gives -0.676 eV/atom. As for the uncorrected energy: -93.9 eV for the cell shown.



## Ba2NaSi2 (PBE)

Data for crystalline Ba2NaSi2 at its relaxed geometry.

The structure belongs to space group I4/mmm (No. 139); the cell edges are 6.4121, 6.4121 and 8.9108 Å and the angles 90.00°, 90.00° and 90.00°. The distinct sites, in fractional coordinates, are Ba at (0.0000, 0.5000, 0.2500), Na at (0.0000, 0.0000, 0.0000) and Si at (0.0000, 0.0000, 0.3712).

As for the uncorrected energy: -32.0 eV for the cell shown.



## IrRhO2 (PBE)

Data for crystalline IrRhO2 at its relaxed geometry.

The structure belongs to space group I-42d (No. 122); the cell edges are 3.8606, 3.8606 and 12.8725 Å and the angles 90.00°, 90.00° and 90.00°. The distinct sites, in fractional coordinates, are Ir at (0.0000, 0.0000, 0.0000), Rh at (0.0000, 0.0000, 0.5000) and O at (0.2332, 0.2500, 0.1250).

As for the uncorrected energy: -103.5 eV for the cell shown.



## LaPr3Ho (PBE)

Data for crystalline LaPr3Ho at its relaxed geometry.

The structure belongs to space group Cmcm (No. 63); the cell edges are 8.2867, 14.1937 and 6.3035 Å and the angles 90.00°, 90.00° and 90.00°. The distinct sites, in fractional coordinates, are La at (0.0000, 0.2015, 0.2500), Pr at (0.0000, 0.0000, 0.0000), Pr at (0.1970, 0.4014, 0.2500) and Ho at (0.0000, 0.3380, 0.7500).

For the formation energy, the calculation gives 0.312 eV/atom. As for the uncorrected energy: -89.1 eV for the cell shown.



## LaSm3Al2 (PBE)

Data for crystalline LaSm3Al2 at its relaxed geometry.

The structure belongs to space group C2/m (No. 12); the cell edges are 16.3047, 5.3355 and 9.1116 Å and the angles 90.00°, 118.21° and 90.00°. The distinct sites, in fractional coordinates, are La at (0.1307, 0.0000, 0.1867), Sm at (0.0627, 0.0000, 0.7155), Sm at (0.1186, 0.5000, 0.5286), Sm at (0.1874, 0.5000, 0.9973), Al at (0.0185, 0.5000, 0.1542) and Al at (0.2304, 0.0000, 0.6015).

For the formation energy, the calculation gives -0.179 eV/atom. As for the uncorrected energy: -110.6 eV for the cell shown.



## RbGaI4 (PBE)

Data for crystalline RbGaI4 at its relaxed geometry.

The structure belongs to space group P2_1/m (No. 11); the cell edges are 7.4187, 11.8255 and 7.4791 Å and the angles 90.00°, 100.03° and 90.00°. The distinct sites, in fractional coordinates, are Rb at (0.1307, 0.2500, 0.2037), Ga at (0.3852, 0.7500, 0.2932), I at (0.2295, 0.5751, 0.1223), I at (0.2668, 0.2500, 0.7183) and I at (0.3492, 0.7500, 0.6311).

As for the uncorrected energy: -30.8 eV for the cell shown.



## TlZnSbPb (PBE)

Data for crystalline TlZnSbPb at its relaxed geometry.

The structure belongs to space group F-43m (No. 216); the cell edges are 7.6839, 7.6839 and 7.6839 Å and the angles 90.00°, 90.00° and 90.00°. The distinct sites, in fractional coordinates, are Tl at (0.0000, 0.0000, 0.0000), Zn at (0.2500, 0.2500, 0.7500), Sb at (0.2500, 0.2500, 0.2500) and Pb at (0.0000, 0.0000, 0.5000).

As for the uncorrected energy: -43.4 eV for the cell shown.



## Li3Ge2Au2 (PBE)

Data for crystalline Li3Ge2Au2 at its relaxed geometry.

The structure belongs to space group C2/m (No. 12); the cell edges are 7.7148, 4.4601 and 7.2171 Å and the angles 90.00°, 111.01° and 90.00°. The distinct sites, in fractional coordinates, are Li at (0.0000, 0.0000, 0.0000), Li at (0.1352, 0.0000, 0.4042), Ge at (0.0870, 0.5000, 0.7637) and Au at (0.2341, 0.5000, 0.2001).

For the formation energy, the calculation gives -0.438 eV/atom. As for the uncorrected energy: -49.2 eV for the cell shown.



- Among the records above, which one has the highest uncorrected energy?
  Pr2GaGe